Model w:
A geometry-optimized Sm2ScAu structure. Source: Alexandria via LeMat-Bulk, functional GGA-PBE.

Density, g/cm3: 8.01
Magnetic moment, μB per formula unit: 0.009

Cell: 11.405 11.405 11.405 Å, 17.15 17.15 17.15°
Positions (direct):
Sm 0.095 0.095 0.095
Sm 0.905 0.905 0.905
Sc 0.000 0.000 0.000
Au 0.500 0.500 0.500

***

Model x:
A geometry-optimized Sm2ScAu structure. Source: Alexandria via LeMat-Bulk, functional GGA-PBE.

Density, g/cm3: 7.96
Magnetic moment, μB per formula unit: 0.001

Cell: 10.145 10.145 10.145 Å, 20.60 20.60 20.60°
Positions (direct):
Sm 0.000 0.000 0.000
Sm 0.182 0.182 0.182
Sc 0.758 0.758 0.758
Au 0.591 0.591 0.591

***

Model y:
A geometry-optimized Sm2ScAu structure. Source: Alexandria via LeMat-Bulk, functional GGA-PBE.

Density, g/cm3: 8.37
Magnetic moment, μB per formula unit: 0.000

Cell: 3.735 3.735 7.717 Å, 90.00 90.00 90.00°
Positions (direct):
Sm 0.000 0.000 0.228
Sm 0.000 0.000 0.772
Sc 0.500 0.500 0.500
Au 0.500 0.500 0.000

***

Bottom line: model y, by a margin of 0.140 eV/atom.

***

Model w:
A geometry-optimized Sm2ScAu6 structure. Source: Alexandria via LeMat-Bulk, functional GGA-PBE.

Density, g/cm3: 12.63
Magnetic moment, μB per formula unit: 0.000

Cell: 6.411 6.411 5.645 Å, 90.01 90.01 59.92°
Positions (direct):
Sm 0.167 0.167 0.157
Sm 0.833 0.833 0.843
Sc 0.500 0.500 0.000
Au 0.135 0.682 0.316
Au 0.317 0.317 0.686
Au 0.318 0.865 0.684
Au 0.682 0.135 0.316
Au 0.683 0.683 0.314
Au 0.865 0.318 0.684

***

Model x:
A geometry-optimized Sm2ScAu6 structure. Source: Alexandria via LeMat-Bulk, functional GGA-PBE.

Density, g/cm3: 13.09
Magnetic moment, μB per formula unit: 0.000

Cell: 8.535 8.535 5.229 Å, 98.85 98.85 144.06°
Positions (direct):
Sm 0.165 0.835 0.000
Sm 0.835 0.165 0.000
Sc 0.500 0.500 0.500
Au 0.158 0.158 0.827
Au 0.179 0.497 0.665
Au 0.497 0.179 0.665
Au 0.503 0.821 0.335
Au 0.821 0.503 0.335
Au 0.842 0.842 0.173

***

Bottom line: model x, by a margin of 0.070 eV/atom.

***

Model w:
A geometry-optimized SmSc2Au structure. Source: Alexandria via LeMat-Bulk, functional GGA-PBE.

Density, g/cm3: 8.00
Magnetic moment, μB per formula unit: 2.462

Cell: 5.044 5.044 5.044 Å, 60.00 60.00 60.00°
Positions (direct):
Sm 0.000 0.000 0.000
Sc 0.250 0.250 0.250
Sc 0.750 0.750 0.750
Au 0.500 0.500 0.500

***

Model x:
A geometry-optimized SmSc2Au structure. Source: Alexandria via LeMat-Bulk, functional GGA-PBE.

Density, g/cm3: 7.50
Magnetic moment, μB per formula unit: 0.000

Cell: 3.482 3.482 7.980 Å, 90.00 90.00 90.00°
Positions (direct):
Sm 0.000 0.000 0.000
Sc 0.500 0.500 0.300
Sc 0.500 0.500 0.700
Au 0.000 0.000 0.500

***

Model y:
A geometry-optimized SmSc2Au structure. Source: Alexandria via LeMat-Bulk, functional GGA-PBE.

Density, g/cm3: 7.03
Magnetic moment, μB per formula unit: 0.002

Cell: 9.717 9.717 9.717 Å, 21.02 21.02 21.02°
Positions (direct):
Sm 0.000 0.000 0.000
Sc 0.566 0.566 0.566
Sc 0.763 0.763 0.763
Au 0.164 0.164 0.164

***

Bottom line: model x, by a margin of 0.139 eV/atom.

***

Model w:
A geometry-optimized SmScZnAu structure. Source: Alexandria via LeMat-Bulk, functional GGA-PBE.

Density, g/cm3: 8.74
Magnetic moment, μB per formula unit: 0.001

Cell: 3.522 3.522 7.008 Å, 90.00 90.00 90.00°
Positions (direct):
Sm 0.000 0.000 0.000
Sc 0.000 0.000 0.495
Zn 0.500 0.500 0.281
Au 0.500 0.500 0.711

***

Model x:
A geometry-optimized SmScZnAu structure. Source: Alexandria via LeMat-Bulk, functional GGA-PBE.

Density, g/cm3: 8.60
Magnetic moment, μB per formula unit: 0.000

Cell: 4.999 4.999 4.999 Å, 60.00 60.00 60.00°
Positions (direct):
Sm 0.000 0.000 0.000
Sc 0.500 0.500 0.500
Zn 0.750 0.750 0.750
Au 0.250 0.250 0.250

***

Bottom line: model w, by a margin of 0.034 eV/atom.

***

Model w:
A geometry-optimized ScSn3Au structure. Source: Alexandria via LeMat-Bulk, functional GGA-PBE.

Density, g/cm3: 6.00
Magnetic moment, μB per formula unit: 0.000

Cell: 5.491 5.491 5.491 Å, 90.00 90.00 90.00°
Positions (direct):
Sc 0.000 0.000 0.000
Sn 0.000 0.000 0.500
Sn 0.000 0.500 0.000
Sn 0.500 0.000 0.000
Au 0.500 0.500 0.500

***

Model x:
A geometry-optimized ScSn3Au structure. Source: Alexandria via LeMat-Bulk, functional GGA-PBE.

Density, g/cm3: 6.48
Magnetic moment, μB per formula unit: 0.000

Cell: 5.352 5.352 5.352 Å, 90.00 90.00 90.00°
Positions (direct):
Sc 0.000 0.000 0.000
Sn 0.000 0.500 0.500
Sn 0.500 0.000 0.500
Sn 0.500 0.500 0.000
Au 0.500 0.500 0.500

***

Bottom line: model x, by a margin of 0.180 eV/atom.

***

Model w:
A geometry-optimized ScSn2Au2 structure. Source: Alexandria via LeMat-Bulk, functional GGA-PBE.

Density, g/cm3: 10.02
Magnetic moment, μB per formula unit: 0.000

Cell: 7.465 7.465 4.024 Å, 90.00 90.00 90.00°
Positions (direct):
Sc 0.000 0.000 0.000
Sc 0.500 0.500 0.000
Sn 0.177 0.323 0.500
Sn 0.323 0.823 0.500
Sn 0.677 0.177 0.500
Sn 0.823 0.677 0.500
Au 0.132 0.632 0.000
Au 0.368 0.132 0.000
Au 0.632 0.868 0.000
Au 0.868 0.368 0.000

***

Model x:
A geometry-optimized ScSn2Au2 structure. Source: Alexandria via LeMat-Bulk, functional GGA-PBE.

Density, g/cm3: 10.07
Magnetic moment, μB per formula unit: 0.427

Cell: 7.930 7.930 3.548 Å, 90.00 90.00 90.00°
Positions (direct):
Sc 0.000 0.000 0.000
Sc 0.500 0.500 0.000
Sn 0.145 0.355 0.000
Sn 0.355 0.855 0.000
Sn 0.645 0.145 0.000
Sn 0.855 0.645 0.000
Au 0.156 0.656 0.500
Au 0.344 0.156 0.500
Au 0.656 0.844 0.500
Au 0.844 0.344 0.500

***

Bottom line: model w, by a margin of 0.119 eV/atom.

***

Model w:
A geometry-optimized Sc2SnAu2 structure. Source: Alexandria via LeMat-Bulk, functional GGA-PBE.

Density, g/cm3: 8.83
Magnetic moment, μB per formula unit: 0.040

Cell: 8.206 8.206 8.206 Å, 153.05 153.05 38.48°
Positions (direct):
Sc 0.107 0.107 0.000
Sc 0.893 0.893 0.000
Sn 0.500 0.500 0.000
Au 0.250 0.750 0.500
Au 0.750 0.250 0.500

***

Model x:
A geometry-optimized Sc2SnAu2 structure. Source: Alexandria via LeMat-Bulk, functional GGA-PBE.

Density, g/cm3: 9.24
Magnetic moment, μB per formula unit: 0.000

Cell: 7.911 7.911 3.462 Å, 90.00 90.00 90.00°
Positions (direct):
Sc 0.158 0.342 0.000
Sc 0.342 0.842 0.000
Sc 0.658 0.158 0.000
Sc 0.842 0.658 0.000
Sn 0.000 0.000 0.000
Sn 0.500 0.500 0.000
Au 0.134 0.634 0.500
Au 0.366 0.134 0.500
Au 0.634 0.866 0.500
Au 0.866 0.366 0.500

***

Bottom line: model x, by a margin of 0.162 eV/atom.

***

Model w:
A geometry-optimized Sc2SnAu2 structure. Source: Alexandria via LeMat-Bulk, functional GGA-PBE.

Density, g/cm3: 8.52
Magnetic moment, μB per formula unit: 0.000

Cell: 6.433 6.433 6.433 Å, 138.11 138.11 60.73°
Positions (direct):
Sc 0.250 0.750 0.500
Sc 0.750 0.250 0.500
Sn 0.000 0.000 0.000
Au 0.380 0.380 0.000
Au 0.620 0.620 0.000

***

Model x:
A geometry-optimized Sc2SnAu2 structure. Source: Alexandria via LeMat-Bulk, functional GGA-PBE.

Density, g/cm3: 9.71
Magnetic moment, μB per formula unit: 0.000

Cell: 7.632 7.632 7.077 Å, 90.00 90.00 90.00°
Positions (direct):
Sc 0.149 0.149 0.000
Sc 0.186 0.186 0.500
Sc 0.314 0.686 0.000
Sc 0.351 0.649 0.500
Sc 0.649 0.351 0.500
Sc 0.686 0.314 0.000
Sc 0.814 0.814 0.500
Sc 0.851 0.851 0.000
Sn 0.000 0.500 0.250
Sn 0.000 0.500 0.750
Sn 0.500 0.000 0.250
Sn 0.500 0.000 0.750
Au 0.131 0.869 0.286
Au 0.131 0.869 0.714
Au 0.369 0.369 0.214
Au 0.369 0.369 0.786
Au 0.631 0.631 0.214
Au 0.631 0.631 0.786
Au 0.869 0.131 0.286
Au 0.869 0.131 0.714

***

Bottom line: model x, by a margin of 0.316 eV/atom.